VASP calculation (PBE) on a relaxed Zr2TcNi crystal.

Values from the calculation:
N(E_F) (states/eV per atom): 1.036
Formation energy from the elements (kJ per mole of atoms): -16

Cell lengths 3.369, 4.453, 9.326 Å; angles 90.00, 90.00, 90.00 degrees
Space group Imm2 (No. 44)
Inequivalent atoms, fractional coordinates:
Zr  0.000  0.000  0.000 (multiplicity 2)
Zr  0.000  0.500  0.230 (multiplicity 2)
Tc  0.000  0.500  0.740 (multiplicity 2)
Ni  0.000  0.000  0.477 (multiplicity 2)